First-principles (PBE) data for a geometry-optimized CaNbS2N structure, as listed in Alexandria via LeMat-Bulk.

a b c (Å): 5.1785 5.1785 4.2382
angles (deg): 90.00 90.00 90.00
Space group P4/mmm (No. 123)
Inequivalent atoms, fractional coordinates:
Ca: 0.0000 0.0000 0.0000 x1
Nb: 0.5000 0.5000 0.5000 x1
S: 0.0000 0.5000 0.0000 x2
N: 0.0000 0.0000 0.5000 x1

DOS(E_F): 4.71 states/eV per cell
uncorrected formation energy: 942 meV/atom
offset from the most stable computed form: 1901 meV/atom